[1]
4
Lattice="2.856 0.000 0.000 0.000 3.622 0.000 0.000 0.000 6.857" Properties=species:S:1:pos:R:3 comment="LaBeOs2 | Alexandria via LeMat-Bulk | PBE | optimized geometry" space_group="Pmm2 (25)" pbc="T T T"
La 0.000 0.000 0.000
Be 1.428 1.811 4.696
Os 0.000 0.000 3.531
Os 1.428 1.811 2.369



[2]
20
Lattice="6.936 0.000 0.000 0.000 4.764 0.000 -4.548 0.000 8.657" Properties=species:S:1:pos:R:3 comment="LaBe3Os | Alexandria via LeMat-Bulk | PBE | optimized geometry" de_polymorph_ev_per_atom=0.118 space_group="P2_1/c (14)" pbc="T T T"
La 0.932 1.011 0.464
La -1.343 1.371 4.793
La 3.730 3.394 3.864
La 1.456 3.753 8.193
Be -0.933 2.720 2.205
Be -3.207 4.427 6.534
Be -1.256 0.545 7.728
Be 1.018 1.837 3.400
Be 2.029 3.151 1.691
Be -0.245 3.996 6.020
Be 2.633 0.769 2.637
Be 0.358 1.614 6.966
Be 1.370 2.927 5.257
Be 3.644 4.219 0.929
Be 5.595 0.338 2.123
Be 3.321 2.045 6.452
Os -1.756 3.011 7.589
Os 0.518 4.136 3.260
Os 1.870 0.629 5.397
Os 4.144 1.753 1.068



[3]
4
Lattice="2.924 0.000 0.000 0.000 4.002 0.000 -1.015 0.000 5.940" Properties=species:S:1:pos:R:3 comment="LaBeOs2 | Alexandria via LeMat-Bulk | PBE | optimized geometry" space_group="P2/m (10)" pbc="T T T"
La 0.000 0.000 0.000
Be 0.955 0.000 2.970
Os 0.201 2.001 4.034
Os 1.708 2.001 1.907



[4]
4
Lattice="1.594 -2.421 0.000 1.594 2.421 0.000 0.000 0.000 8.196" Properties=species:S:1:pos:R:3 comment="LaBeOs2 | Alexandria via LeMat-Bulk | PBE | optimized geometry" space_group="Cmmm (65)" pbc="T T T"
La 0.000 0.000 0.000
Be 0.000 0.000 4.098
Os 1.594 0.000 2.470
Os 1.594 0.000 5.726



[5]
4
Lattice="3.525 -2.035 0.000 3.525 2.035 0.000 -2.338 0.000 7.392" Properties=species:S:1:pos:R:3 comment="La2BeOs | Alexandria via LeMat-Bulk | PBE | optimized geometry" space_group="Cm (8)" pbc="T T T"
La 0.000 0.000 0.000
La 0.002 0.000 3.818
Be 2.351 0.000 1.901
Os 4.701 0.000 1.931



[6]
10
Lattice="4.837 0.000 0.000 -0.175 4.866 0.000 -1.188 -0.828 6.189" Properties=species:S:1:pos:R:3 comment="LaBe3Os | Alexandria via LeMat-Bulk | PBE | optimized geometry" de_polymorph_ev_per_atom=0.024 space_group="P-1 (2)" pbc="T T T"
La 0.429 2.037 2.031
La 3.045 2.002 4.158
Be -0.594 -0.414 3.095
Be 0.577 4.492 0.634
Be 0.668 2.338 5.614
Be 1.825 -0.414 3.095
Be 2.806 1.701 0.575
Be 2.898 -0.454 5.555
Os 0.541 -0.157 4.985
Os 2.934 4.195 1.204



[7]
10
Lattice="3.775 0.000 0.000 -1.878 5.546 0.000 -1.886 -0.978 7.447" Properties=species:S:1:pos:R:3 comment="LaBe3Os | Alexandria via LeMat-Bulk | PBE | optimized geometry" de_polymorph_ev_per_atom=0.058 space_group="P1 (1)" pbc="T T T"
La 0.000 0.000 0.000
La -1.883 3.801 4.092
Be 0.000 2.092 2.043
Be 0.001 1.203 3.911
Be 0.006 4.218 1.779
Be 0.000 1.488 6.096
Be 1.887 2.449 1.007
Be 1.888 0.973 5.019
Os -1.887 2.116 7.211
Os 1.888 0.738 2.676



[8]
4
Lattice="0.000 3.254 3.254 3.254 0.000 3.254 3.254 3.254 0.000" Properties=species:S:1:pos:R:3 comment="LaBeOs2 | Alexandria via LeMat-Bulk | PBE | optimized geometry" space_group="F-43m (216)" pbc="T T T"
La 0.000 0.000 0.000
Be 4.881 4.881 4.881
Os 1.627 1.627 1.627
Os 3.254 3.254 3.254



How do the records compare in E? In the order shown, they have -7.550 -5.506 -7.412 -7.330 -6.369 -5.601 -5.567 -7.103 eV per atom.
How do the records compare in calculated density? In the order shown, they have 12.4 8.3 12.6 13.9 7.5 8.1 7.6 12.7 g/cm3.
How do the records compare in formation enthalpy at 0 K? In the order shown, they have 0.228 -0.039 0.366 0.448 -0.167 -0.133 -0.100 0.675 eV/atom.